--- a ---
{"formula": "Sr2FeTc", "functional": "PBE", "state": "relaxed", "lattice": [[-1.531, -1.443, -2.785], [2.877, 0.588, -1.886], [3.059, -7.645, 2.280]], "species": ["Fe", "Sr", "Sr", "Tc"], "fractional_positions": [[0.500, 0.500, 0.750], [0.000, 0.000, 0.005], [0.000, 0.000, 0.495], [0.500, 0.500, 0.250]], "dos_ef_per_ev_cell": 6.10}



--- b ---
{"formula": "Sr2FeTc", "functional": "PBE", "state": "relaxed", "lattice": [[-2.648, 4.862, 0.182], [-2.238, 0.470, -5.046], [-0.382, -4.249, 3.534]], "species": ["Fe", "Sr", "Sr", "Tc"], "fractional_positions": [[0.750, 0.250, 0.500], [0.000, 0.000, 0.000], [0.500, 0.500, 0.000], [0.250, 0.750, 0.500]], "dos_ef_per_ev_cell": 5.84}



Most stable structure: a



--- a ---
{"formula": "Sr2FeTc", "functional": "PBE", "state": "relaxed", "lattice": [[-6.654, 5.917, -4.974], [-5.140, 4.442, -7.607], [-7.695, 2.887, -6.040]], "species": ["Fe", "Sr", "Sr", "Tc"], "fractional_positions": [[0.750, 0.750, 0.750], [0.998, 0.998, 0.998], [0.502, 0.502, 0.502], [0.250, 0.250, 0.250]], "dos_ef_per_ev_cell": 4.91}



--- b ---
{"formula": "Sr2FeTc", "functional": "PBE", "state": "relaxed", "lattice": [[-3.043, -1.027, -1.242], [0.111, -2.780, 2.029], [-4.248, 4.632, 6.580]], "species": ["Fe", "Sr", "Sr", "Tc"], "fractional_positions": [[0.500, 0.500, 0.667], [0.000, 0.000, 0.918], [0.500, 0.500, 0.330], [0.000, 0.000, 0.585]], "dos_ef_per_ev_cell": 5.23}



--- c ---
{"formula": "Sr2FeTc", "functional": "PBE", "state": "relaxed", "lattice": [[4.369, 0.000, 0.000], [0.000, 3.474, 0.024], [0.000, 3.418, 6.733]], "species": ["Fe", "Sr", "Sr", "Tc"], "fractional_positions": [[0.500, 0.750, 0.750], [0.000, 0.996, 0.003], [0.000, 0.504, 0.497], [0.500, 0.250, 0.250]], "dos_ef_per_ev_cell": 5.81}



Most stable structure: b



--- a ---
{"formula": "SrFeTc2", "functional": "PBE", "state": "relaxed", "lattice": [[-0.701, 2.907, -3.804], [-4.602, -1.472, -0.277], [-4.856, 6.677, 2.920]], "species": ["Sr", "Sr", "Tc", "Tc", "Tc", "Tc", "Fe", "Fe"], "fractional_positions": [[0.000, 0.000, 0.000], [0.750, 0.250, 0.500], [0.375, 0.125, 0.250], [0.375, 0.625, 0.250], [0.375, 0.625, 0.750], [0.875, 0.625, 0.750], [0.500, 0.500, 0.000], [0.250, 0.750, 0.500]], "dos_ef_per_ev_cell": 12.89}



--- b ---
{"formula": "SrFeTc2", "functional": "PBE", "state": "relaxed", "lattice": [[5.562, 0.021, 0.000], [2.882, 4.757, 0.000], [-4.222, -2.389, 2.721]], "species": ["Fe", "Sr", "Tc", "Tc"], "fractional_positions": [[0.250, 0.750, 0.500], [0.750, 0.250, 0.500], [0.000, 0.000, 0.000], [0.500, 0.500, 0.000]], "dos_ef_per_ev_cell": 6.50}



--- c ---
{"formula": "SrFeTc2", "functional": "PBE", "state": "relaxed", "lattice": [[3.195, 0.000, 0.000], [0.000, 3.178, 0.268], [0.000, 2.551, 7.746]], "species": ["Fe", "Sr", "Tc", "Tc"], "fractional_positions": [[0.000, 0.576, 0.423], [0.500, 0.750, 0.751], [0.000, 0.923, 0.077], [0.500, 0.251, 0.249]], "dos_ef_per_ev_cell": 5.44}



--- d ---
{"formula": "SrFeTc2", "functional": "PBE", "state": "relaxed", "lattice": [[4.856, -0.279, 0.048], [4.008, 2.756, 0.048], [1.325, 0.370, 5.597]], "species": ["Fe", "Sr", "Tc", "Tc"], "fractional_positions": [[0.250, 0.250, 0.250], [0.750, 0.750, 0.750], [0.963, 0.963, 0.115], [0.537, 0.537, 0.385]], "dos_ef_per_ev_cell": 4.88}



Most stable structure: c



--- a ---
{"formula": "SrFeTc2", "functional": "PBE", "state": "relaxed", "lattice": [[-2.275, 3.883, 0.877], [-3.337, -2.411, 2.019], [1.565, 0.262, 2.900]], "species": ["Fe", "Sr", "Tc", "Tc"], "fractional_positions": [[0.500, 0.000, 0.500], [0.000, 0.500, 0.500], [0.000, 0.000, 0.000], [0.500, 0.500, 0.000]], "dos_ef_per_ev_cell": 5.21}



--- b ---
{"formula": "SrFeTc2", "functional": "PBE", "state": "relaxed", "lattice": [[2.825, 0.025, 0.000], [-0.026, 2.825, 0.000], [0.000, 0.000, 8.630]], "species": ["Fe", "Sr", "Tc", "Tc"], "fractional_positions": [[0.500, 0.500, 0.250], [0.500, 0.500, 0.750], [0.000, 0.000, 0.059], [0.000, 0.000, 0.441]], "dos_ef_per_ev_cell": 3.91}



--- c ---
{"formula": "SrFeTc2", "functional": "PBE", "state": "relaxed", "lattice": [[4.914, 0.000, 0.000], [0.000, 3.817, 0.000], [0.000, 0.000, 3.817]], "species": ["Fe", "Sr", "Tc", "Tc"], "fractional_positions": [[0.500, 0.500, 0.000], [0.500, 0.000, 0.500], [0.000, 0.000, 0.000], [0.000, 0.500, 0.500]], "dos_ef_per_ev_cell": 6.21}



--- d ---
{"formula": "SrFeTc2", "functional": "PBE", "state": "relaxed", "lattice": [[-1.301, 4.062, -0.262], [-3.613, 1.217, 1.928], [1.303, 3.005, 5.278]], "species": ["Fe", "Sr", "Tc", "Tc"], "fractional_positions": [[0.552, 0.552, 0.344], [0.748, 0.748, 0.755], [0.941, 0.941, 0.177], [0.259, 0.259, 0.224]], "dos_ef_per_ev_cell": 5.50}



Most stable structure: d



--- a ---
{"formula": "SrFeTc2", "functional": "PBE", "state": "relaxed", "lattice": [[-3.508, -2.413, 1.752], [-2.488, -2.754, -2.725], [0.335, -4.572, 0.424]], "species": ["Fe", "Sr", "Tc", "Tc"], "fractional_positions": [[0.500, 0.500, 0.500], [0.750, 0.750, 0.750], [0.000, 0.000, 0.000], [0.250, 0.250, 0.250]], "dos_ef_per_ev_cell": 5.67}



--- b ---
{"formula": "SrFeTc2", "functional": "PBE", "state": "relaxed", "lattice": [[5.624, 0.061, 0.000], [-3.057, 4.721, 0.000], [0.000, 0.000, 2.612]], "species": ["Fe", "Sr", "Tc", "Tc"], "fractional_positions": [[0.500, 0.000, 0.500], [0.000, 0.500, 0.500], [0.000, 0.000, 0.000], [0.500, 0.500, 0.000]], "dos_ef_per_ev_cell": 3.24}



--- c ---
{"formula": "SrFeTc2", "functional": "PBE", "state": "relaxed", "lattice": [[5.631, 0.010, -0.006], [-2.964, 4.789, -0.006], [0.406, 0.730, 2.555]], "species": ["Fe", "Sr", "Tc", "Tc"], "fractional_positions": [[0.500, 0.000, 0.500], [0.000, 0.500, 0.500], [0.000, 0.000, 0.000], [0.500, 0.500, 0.000]], "dos_ef_per_ev_cell": 4.13}



--- d ---
{"formula": "SrFeTc2", "functional": "PBE", "state": "relaxed", "lattice": [[9.577, -0.084, -0.049], [9.161, 2.793, -0.049], [9.161, 1.325, 2.460]], "species": ["Fe", "Sr", "Tc", "Tc"], "fractional_positions": [[0.250, 0.250, 0.250], [0.750, 0.750, 0.750], [0.985, 0.985, 0.985], [0.515, 0.515, 0.515]], "dos_ef_per_ev_cell": 4.65}



Most stable structure: a